Entry 1:
VASP calculation (PBE) on crystalline NaLaZr3 at its relaxed geometry.

Calculated values
space group: No. 221
calculated total energy: -5.223 eV/atom
mass density: 5.17 g/cm3
DOS at the Fermi energy: 2.0021 states/eV per atom

Geometry as CIF:
```
data_NaLaZr3
_chemical_formula_sum 'Na1 La1 Zr3'
_symmetry_space_group_name_H-M 'P 1'
_symmetry_Int_Tables_number 1
_symmetry_space_group_name_Hall 'P 1'
_cell_length_a 5.190
_cell_length_b 5.190
_cell_length_c 5.190
_cell_angle_alpha 90.00
_cell_angle_beta 90.00
_cell_angle_gamma 90.00
loop_
_atom_site_label
_atom_site_type_symbol
_atom_site_fract_x
_atom_site_fract_y
_atom_site_fract_z
_atom_site_occupancy
Na1 Na 0.000 0.000 0.000 1
Zr1 Zr 0.000 0.500 0.000 1
Zr2 Zr 0.000 0.000 0.500 1
Zr3 Zr 0.500 0.000 0.000 1
La1 La 0.500 0.500 0.500 1
```



Entry 2:
VASP calculation (PBE) on crystalline RbLiMg2Sb at its relaxed geometry.

Calculated values
space group: No. 123
calculated total energy: -1.816 eV/atom
mass density: 2.01 g/cm3
DOS at the Fermi energy: 0.8236 states/eV per atom
raw formation energy: 5.126 kcal/mol of atoms

Geometry as CIF:
```
data_RbLiMg2Sb
_chemical_formula_sum 'Rb1 Li1 Mg2 Sb1'
_symmetry_space_group_name_H-M 'P 1'
_symmetry_Int_Tables_number 1
_symmetry_space_group_name_Hall 'P 1'
_cell_length_a 5.607
_cell_length_b 5.607
_cell_length_c 6.911
_cell_angle_alpha 90.00
_cell_angle_beta 90.00
_cell_angle_gamma 90.00
loop_
_atom_site_label
_atom_site_type_symbol
_atom_site_fract_x
_atom_site_fract_y
_atom_site_fract_z
_atom_site_occupancy
Sb1 Sb 0.000 0.000 0.000 1
Mg1 Mg 0.000 0.500 0.000 1
Mg2 Mg 0.500 0.000 0.000 1
Rb1 Rb 0.000 0.000 0.500 1
Li1 Li 0.500 0.500 0.500 1
```



Entry 3:
VASP calculation (PBE) on crystalline Ce2ScSb2 at its relaxed geometry.

Calculated values
space group: No. 63
calculated total energy: -6.139 eV/atom
mass density: 6.81 g/cm3
DOS at the Fermi energy: 2.7473 states/eV per atom
raw formation energy: -19.615 kcal/mol of atoms

Geometry as CIF:
```
data_Ce2ScSb2
_chemical_formula_sum 'Ce4 Sc2 Sb4'
_symmetry_space_group_name_H-M 'P 1'
_symmetry_Int_Tables_number 1
_symmetry_space_group_name_Hall 'P 1'
_cell_length_a 5.033
_cell_length_b 6.290
_cell_length_c 9.113
_cell_angle_alpha 90.00
_cell_angle_beta 106.03
_cell_angle_gamma 90.00
loop_
_atom_site_label
_atom_site_type_symbol
_atom_site_fract_x
_atom_site_fract_y
_atom_site_fract_z
_atom_site_occupancy
Ce1 Ce 0.000 0.727 0.000 1
Ce2 Ce 0.803 0.477 0.606 1
Ce3 Ce 0.197 0.977 0.394 1
Ce4 Ce 0.000 0.227 0.000 1
Sc1 Sc 0.407 0.977 0.814 1
Sc2 Sc 0.593 0.477 0.186 1
Sb1 Sb 0.419 0.477 0.839 1
Sb2 Sb 0.824 0.977 0.648 1
Sb3 Sb 0.176 0.477 0.352 1
Sb4 Sb 0.581 0.977 0.161 1
```